1.
DFT (PBE with a Hubbard U) results for a relaxed structure of NdVHgO5.

a = 8.634 Å, b = 9.137 Å, c = 8.693 Å
α = 90.00°, β = 118.78°, γ = 90.00°
Space group C2/c (No. 15)
Unique sites:
Nd 0.000 0.000 0.000
V 0.000 0.355 0.250
Hg 0.000 0.322 0.750
O 0.000 0.098 0.750
O 0.023 0.245 0.102
O 0.185 0.474 0.358


2.
DFT (PBE with a Hubbard U) results for a relaxed structure of NdV2HgO8.

a = 5.9460 Å, b = 5.9460 Å, c = 6.5589 Å
α = 90.00°, β = 90.00°, γ = 120.00°
Space group P-3m1 (No. 164)
Unique sites:
Nd 0.0000 0.0000 0.0000
V 0.3333 0.6667 0.6687
Hg 0.0000 0.0000 0.5000
O 0.1686 0.3372 0.7535
O 0.3333 0.6667 0.4171


Number 1: calculated total energy -212.50 eV/cell. Number 2: calculated total energy -80.47 eV/cell.